Below is a relaxed PaNiPd2O8 crystal, with properties calculated at the PBE with a Hubbard U level.

abc: 5.940 5.940 5.940
angles: 109.48 109.48 109.46
Positions (direct):
Pa (0.250, 0.750, 0.500)
Ni (0.000, 0.000, 0.000)
Pd (0.750, 0.250, 0.500)
Pd (0.500, 0.500, 0.000)
O (0.351, 0.034, 0.317)
O (0.285, 0.464, 0.179)
O (0.285, 0.106, 0.821)
O (0.718, 0.034, 0.683)
O (0.894, 0.715, 0.179)
O (0.966, 0.282, 0.317)
O (0.966, 0.649, 0.683)
O (0.536, 0.715, 0.821)

Properties
* E: -0.226 hartree per atom
* spin magnetization: 1.81 μB/f.u.
* D(E_F): 0.674 states/eV per atom
* V: 161.4 Å³/cell
* mass density: 6.5 g/cm³